No. 1
BaReTc2O8 after structural relaxation. Source: Alexandria, functional PBE.

abc: 5.213 5.213 7.104
angles: 100.43 100.43 75.27
Fractional coordinates of all 12 atoms:
Ba 0.000 0.000 0.000
Re 0.000 0.000 0.500
Tc 0.441 0.441 0.766
Tc 0.559 0.559 0.234
O 0.226 0.763 0.690
O 0.232 0.232 0.587
O 0.237 0.774 0.310
O 0.350 0.350 0.991
O 0.650 0.650 0.009
O 0.763 0.226 0.690
O 0.768 0.768 0.413
O 0.774 0.237 0.310

## Properties
Energy = -7.816 eV per atom
Size of the total moment = 0.167 μB per atom
Formation energy (no corrections) = -1.586 eV per atom

***

No. 2
TlNi2Ir after structural relaxation. Source: Alexandria, functional PBE.

abc: 9.190 9.190 9.190
angles: 155.49 155.49 34.94
Fractional coordinates of all 8 atoms:
Tl 0.000 0.000 0.000
Tl 0.750 0.250 0.500
Ni 0.188 0.625 0.063
Ni 0.375 0.438 0.563
Ni 0.562 0.125 0.937
Ni 0.875 0.812 0.437
Ir 0.250 0.750 0.500
Ir 0.500 0.500 0.000

## Properties
Energy = -5.054 eV per atom
Formation energy from the elements = 0.64 eV/atom
Size of the total moment = 0.109 μB per atom

***

No. 3
SrInRh after structural relaxation. Source: Alexandria, functional PBE.

abc: 5.014 5.014 5.014
angles: 60.00 60.00 60.00
Fractional coordinates of all 3 atoms:
Sr 0.000 0.000 0.000
In 0.750 0.750 0.750
Rh 0.250 0.250 0.250

## Properties
Energy = -3.426 eV per atom
Formation energy from the elements = 0.50 eV/atom
Size of the total moment = 0.000 μB per atom

***

No. 4
La2HgPtPb after structural relaxation. Source: Alexandria, functional PBE.

abc: 5.600 5.600 5.202
angles: 90.00 90.00 90.00
Fractional coordinates of all 5 atoms:
La 0.000 0.500 0.000
La 0.500 0.000 0.000
Hg 0.000 0.000 0.500
Pt 0.000 0.000 0.000
Pb 0.500 0.500 0.500

## Properties
Energy = -4.523 eV per atom
Formation energy from the elements = -0.54 eV/atom
Size of the total moment = 0.000 μB per atom